CaAcWO6: relaxed, GGA+U.

Results
E in eV per atom: -7.305
Spin magnetization in μB/cell: 1.05

a = 5.6965 Å, b = 5.6965 Å, c = 5.1719 Å
α = 90.00°, β = 90.00°, γ = 120.00°
Space group P312 (No. 149)
Asymmetric unit:
Ca: 0.0000 0.0000 0.0000 x1
Ac: 0.6667 0.3333 0.5000 x1
W: 0.3333 0.6667 0.0000 x1
O: 0.0490 0.3833 0.2124 x6